# 1
Mn2CdAg | PBE | optimized geometry

Output
- calculated total energy (eV per atom) = -4.88

Structure (extended XYZ):
```
8
Lattice="7.425 0.000 0.000 0.000 7.425 0.000 3.713 3.713 2.757" Properties=species:S:1:pos:R:3 pbc="T T T"
Cd 0.000 0.000 0.000
Cd 7.425 3.713 1.379
Ag 3.713 3.713 0.000
Ag 3.713 7.425 1.379
Mn 9.282 9.192 2.068
Mn 5.569 5.659 2.068
Mn 5.479 1.856 0.689
Mn 1.946 5.569 0.689
```

# 2
MnCdAg2 | PBE | optimized geometry

Output
- calculated total energy (eV per atom) = -3.82

Structure (extended XYZ):
```
4
Lattice="-0.577 -3.243 0.489 2.046 -0.743 -2.517 4.997 -0.265 4.141" Properties=species:S:1:pos:R:3 pbc="T T T"
Ag 2.598 -0.138 2.153
Ag 4.897 -0.260 4.058
Mn 4.482 -2.192 2.091
Cd 1.984 -2.059 0.021
```

# 3
MnCdAg3 | PBE | optimized geometry

Output
- ΔE to the lowest computed polymorph (eV/atom) = 0.000

Structure (extended XYZ):
```
5
Lattice="-4.518 2.086 -0.173 -0.926 -1.623 4.615 1.877 4.220 1.861" Properties=species:S:1:pos:R:3 pbc="T T T"
Ag -2.259 1.043 -0.087
Ag -0.463 -0.812 2.308
Ag 0.938 2.110 0.931
Mn 0.000 0.000 0.000
Cd -1.784 2.341 3.151
```

# 4
Mn2CdAg | PBE | optimized geometry

Output
- calculated total energy (eV per atom) = -5.22

Structure (extended XYZ):
```
4
Lattice="9.543 -0.005 -0.003 9.109 2.846 -0.003 9.109 1.388 2.485" Properties=species:S:1:pos:R:3 pbc="T T T"
Mn 27.585 4.202 2.464
Mn 7.042 1.073 0.629
Ag 14.024 2.136 1.253
Cd 20.752 3.161 1.854
```

# 5
MnCdAg2 | PBE | optimized geometry

Output
- calculated total energy (eV per atom) = -3.78

Structure (extended XYZ):
```
4
Lattice="5.108 0.017 -0.005 4.217 2.882 -0.005 0.956 0.297 4.900" Properties=species:S:1:pos:R:3 pbc="T T T"
Mn 7.705 2.396 3.723
Ag 0.986 0.307 4.845
Ag 2.582 0.803 1.234
Cd 5.107 1.588 2.433
```

# 6
MnCdAg2 | PBE | optimized geometry

Output
- calculated total energy (eV per atom) = -3.77

Structure (extended XYZ):
```
4
Lattice="4.346 0.000 0.000 0.000 4.346 0.000 0.000 0.000 3.856" Properties=species:S:1:pos:R:3 pbc="T T T"
Cd 2.173 0.000 1.928
Ag 0.000 0.000 0.000
Ag 2.173 2.173 0.000
Mn 0.000 2.173 1.928
```

# 7
Mn2CdAg | PBE | optimized geometry

Output
- calculated total energy (eV per atom) = -5.15

Structure (extended XYZ):
```
4
Lattice="-7.509 -5.661 0.182 -6.262 -6.462 2.738 -8.041 -4.105 2.637" Properties=species:S:1:pos:R:3 pbc="T T T"
Mn -21.768 -16.196 5.547
Mn -10.950 -8.147 2.790
Ag -5.453 -4.057 1.389
Cd -16.359 -12.172 4.168
```

# 8
Mn2CdAg | PBE | optimized geometry

Output
- calculated total energy (eV per atom) = -5.20

Structure (extended XYZ):
```
4
Lattice="-3.904 -0.587 3.084 -1.459 -0.896 4.707 -0.569 4.592 1.731" Properties=species:S:1:pos:R:3 pbc="T T T"
Cd -1.490 0.734 2.382
Ag -2.950 1.623 4.751
Mn -4.425 2.338 7.108
Mn -0.601 4.561 1.774
```

# 9
MnCdAg2 | PBE | optimized geometry

Output
- calculated total energy (eV per atom) = -3.77

Structure (extended XYZ):
```
4
Lattice="4.670 0.000 0.000 2.335 4.044 0.000 2.335 1.348 3.813" Properties=species:S:1:pos:R:3 pbc="T T T"
Mn 7.005 4.044 2.860
Cd 4.670 2.696 1.907
Ag 2.335 1.348 0.953
Ag 0.000 0.000 0.000
```

# 10
MnCdAg4 | PBE | optimized geometry

Output
- calculated total energy (eV per atom) = -3.33

Structure (extended XYZ):
```
6
Lattice="4.082 -3.315 1.538 1.319 -0.445 5.299 -1.105 -4.627 2.719" Properties=species:S:1:pos:R:3 pbc="T T T"
Cd 1.074 -2.097 2.389
Ag 0.642 -3.583 5.204
Ag 2.686 -5.243 5.975
Ag 3.239 -2.927 4.613
Ag 2.025 -5.020 3.322
Mn 0.000 0.000 0.000
```

# 11
Mn3CdAg | PBE | optimized geometry

Output
- ΔE to the lowest computed polymorph (eV/atom) = 0.000

Structure (extended XYZ):
```
5
Lattice="4.927 0.000 0.000 0.000 4.927 0.000 0.000 0.000 4.927" Properties=species:S:1:pos:R:3 pbc="T T T"
Ag 0.000 0.000 0.000
Mn 0.000 2.464 0.000
Mn 0.000 0.000 2.464
Mn 2.464 0.000 0.000
Cd 2.464 2.464 2.464
```

# 12
MnCdAg2 | PBE | optimized geometry

Output
- calculated total energy (eV per atom) = -3.81

Structure (extended XYZ):
```
4
Lattice="-1.527 2.971 3.667 -4.699 1.113 -1.133 2.166 -4.453 0.293" Properties=species:S:1:pos:R:3 pbc="T T T"
Cd -1.237 0.280 2.613
Mn -2.823 -0.649 0.213
Ag -0.001 0.001 0.000
Ag -3.112 2.042 1.266
```

# 13
Mn2CdAg | PBE | optimized geometry

Output
- calculated total energy (eV per atom) = -5.20

Structure (extended XYZ):
```
4
Lattice="-3.167 3.527 4.493 -2.340 -2.093 -3.803 -1.721 -1.499 1.866" Properties=species:S:1:pos:R:3 pbc="T T T"
Ag -2.031 -1.796 -0.968
Cd -2.754 0.717 0.345
Mn -2.444 1.014 3.180
Mn 0.000 0.000 0.000
```